[1]
VASP calculation (PBE) on an optimized crystal structure of Sm4CuAu3.

Structure (CIF):
```
data_Sm4CuAu3
_chemical_formula_sum 'Sm4 Cu1 Au3'
_cell_length_a 3.844
_cell_length_b 4.705
_cell_length_c 11.093
_cell_angle_alpha 90.00
_cell_angle_beta 90.00
_cell_angle_gamma 90.00
_space_group_name_H-M_alt 'P m m 2'
_space_group_IT_number 25
loop_
_space_group_symop_operation_xyz
'x,y,z'
'-x,-y,z'
'-x,y,z'
'x,-y,z'
loop_
_atom_site_label
_atom_site_fract_x
_atom_site_fract_y
_atom_site_fract_z
Sm1 0.000 0.000 0.000
Sm2 0.000 0.500 0.271
Sm3 0.500 0.000 0.491
Sm4 0.500 0.500 0.774
Cu1 0.500 0.000 0.213
Au1 0.000 0.000 0.721
Au2 0.000 0.500 0.547
Au3 0.500 0.500 0.056
```

Crystal system = orthorhombic
E_form = -5.345 eV per formula unit
Mass density = 10.39 g/cm³
VASP energy = -4.7687 eV per atom
M_tot = 0.00 μB per cell

---

[2]
VASP calculation (PBE) on an optimized crystal structure of TbPmHoTm.

Structure (CIF):
```
data_TbPmHoTm
_chemical_formula_sum 'Tb1 Pm1 Ho1 Tm1'
_cell_length_a 3.434
_cell_length_b 5.611
_cell_length_c 6.704
_cell_angle_alpha 90.00
_cell_angle_beta 90.00
_cell_angle_gamma 90.00
_space_group_name_H-M_alt 'P m m 2'
_space_group_IT_number 25
loop_
_space_group_symop_operation_xyz
'x,y,z'
'-x,-y,z'
'-x,y,z'
'x,-y,z'
loop_
_atom_site_label
_atom_site_fract_x
_atom_site_fract_y
_atom_site_fract_z
Tb1 0.000 0.000 0.000
Pm1 0.500 0.500 0.748
Ho1 0.500 0.000 0.494
Tm1 0.500 0.500 0.233
```

Crystal system = orthorhombic
E_form = 0.789 eV per formula unit
Excess energy over the best structure of this formula in the dataset = 74 meV per atom
Mass density = 8.20 g/cm³
VASP energy = -4.4104 eV per atom
M_tot = 0.00 μB per cell

---

[3]
VASP calculation (PBE) on an optimized crystal structure of Zn2SbMo.

Structure (CIF):
```
data_Zn2SbMo
_chemical_formula_sum 'Zn4 Sb2 Mo2'
_cell_length_a 5.386
_cell_length_b 9.318
_cell_length_c 2.985
_cell_angle_alpha 90.00
_cell_angle_beta 109.41
_cell_angle_gamma 90.00
_space_group_name_H-M_alt 'C 1 2/m 1'
_space_group_IT_number 12
loop_
_space_group_symop_operation_xyz
'x,y,z'
'-x,-y,-z'
'-x,y,-z'
'x,-y,z'
'x+1/2,y+1/2,z'
'-x+1/2,-y+1/2,-z'
'-x+1/2,y+1/2,-z'
'x+1/2,-y+1/2,z'
loop_
_atom_site_label
_atom_site_fract_x
_atom_site_fract_y
_atom_site_fract_z
Zn1 0.250 0.250 0.000
Sb1 0.000 0.000 0.500
Mo1 0.000 0.500 0.500
```

Crystal system = monoclinic
Mass density = 8.19 g/cm³
VASP energy = -4.0178 eV per atom
M_tot = 0.00 μB per cell

---

[4]
VASP calculation (PBE) on an optimized crystal structure of KNa2LiCl4.

Structure (CIF):
```
data_KNa2LiCl4
_chemical_formula_sum 'K4 Na8 Li4 Cl16'
_cell_length_a 4.065
_cell_length_b 13.823
_cell_length_c 14.120
_cell_angle_alpha 90.00
_cell_angle_beta 90.00
_cell_angle_gamma 90.00
_space_group_name_H-M_alt 'C m c m'
_space_group_IT_number 63
_space_group_name_Hall '-C 2c 2'
loop_
_atom_site_label
_atom_site_fract_x
_atom_site_fract_y
_atom_site_fract_z
K1 0.000 0.116 0.250
Na1 0.000 0.369 0.047
Li1 0.000 0.156 0.750
Cl1 0.000 0.000 0.000
Cl2 0.000 0.260 0.620
Cl3 0.000 0.436 0.250
```

Crystal system = orthorhombic
Mass density = 1.96 g/cm³
VASP energy = -3.4627 eV per atom
M_tot = 0.49 μB per cell